No. 1
{"formula": "Ca2PPbSe", "functional": "GGA-PBEsol", "state": "optimized geometry", "final_energy_ev_per_atom": -3.898, "raw_formation_energy_ev_per_atom": -0.317, "n_ef_per_ev_fu": 2.0, "spacegroup": "No. 123", "cell": [[5.3557, 0.0000, 0.0000], [0.0000, 5.3557, 0.0000], [0.0000, 0.0000, 5.4916]], "species": ["Pb", "P", "Ca", "Ca", "Se"], "fractional_positions": [[0.0000, 0.0000, 0.5000], [0.5000, 0.5000, 0.5000], [0.0000, 0.5000, 0.0000], [0.5000, 0.0000, 0.0000], [0.0000, 0.0000, 0.0000]]}

---

No. 2
{"formula": "Ca2PPt", "functional": "GGA-PBEsol", "state": "optimized geometry", "final_energy_ev_per_atom": -5.066, "n_ef_per_ev_fu": 1.6, "de_polymorph_mev_per_atom": 167, "formation_energy_ev_per_atom": -0.81, "spacegroup": "No. 25", "cell": [[-0.0147, -1.3769, -2.8785], [4.9849, 0.6711, -0.3465], [0.7558, -4.5035, 2.1503]], "species": ["Ca", "Ca", "P", "Pt"], "fractional_positions": [[0.0000, 0.0000, 0.1180], [0.0000, 0.5000, 0.6315], [0.5000, 0.0000, 0.6148], [0.5000, 0.5000, 0.1356]]}